P:
## EuDy2Mn (PBE)

Data for crystalline EuDy2Mn at its relaxed geometry. Values from VASP.

Structure (Quantum ESPRESSO input):
```
&SYSTEM
  ibrav = 0, nat = 4, ntyp = 3
/
ATOMIC_SPECIES
Dy 162.50 Dy.upf
Mn 54.94 Mn.upf
Eu 151.96 Eu.upf
ATOMIC_POSITIONS crystal
Dy 0.735 0.735 0.795
Dy 0.265 0.265 0.205
Mn 0.000 0.000 0.000
Eu 0.500 0.500 0.500
CELL_PARAMETERS angstrom
3.537 0.000 0.000
1.768 3.063 0.000
1.768 1.021 10.706
```

Values from the calculation:
The space group is R-3m.

---

Q:
## EuDy2Mn (PBE)

Data for crystalline EuDy2Mn at its relaxed geometry. Values from VASP.

Structure (Quantum ESPRESSO input):
```
&SYSTEM
  ibrav = 0, nat = 4, ntyp = 3
/
ATOMIC_SPECIES
Dy 162.50 Dy.upf
Mn 54.94 Mn.upf
Eu 151.96 Eu.upf
ATOMIC_POSITIONS crystal
Dy 0.000 0.000 0.816
Mn 0.500 0.500 0.000
Dy 0.000 0.000 0.184
Eu 0.500 0.500 0.500
CELL_PARAMETERS angstrom
-0.277 -3.521 0.284
1.535 0.136 3.190
-8.225 0.963 3.917
```

Values from the calculation:
The space group is P4/mmm.

---

Quick one: least stable of them? P